A plane-wave DFT calculation with PBE was carried out for crystalline Cs2K2CuH4 at its relaxed geometry.

Calculated values
DOS(E_F): 2.6 states/eV/cell
total moment: 0.0000 μB/atom
total DFT energy (no corrections): -2.217 eV/atom

abc: 7.026 7.026 7.026
angles: 100.58 114.09 114.09
Fractional coordinates of all 9 atoms:
K  0.000  0.692  0.692
K  0.000  0.308  0.308
Cu  0.000  0.000  0.000
H  0.000  0.154  0.846
H  0.309  0.154  0.154
Cs  0.500  0.750  0.250
Cs  0.500  0.250  0.750
H  0.000  0.846  0.154
H  0.691  0.846  0.846